Record 1
Sr2H8PtO8, relaxed, DFT GGA-PBE; raw total energy = -5.407 eV/atom
1.0
5.914 0.000 0.000
0.000 10.945 0.000
-2.315 0.000 5.460
Sr H Pt O
4 16 2 16
Direct
0.231 0.127 0.396 Sr
0.231 0.373 0.896 Sr
0.769 0.627 0.104 Sr
0.769 0.873 0.604 Sr
0.084 0.090 0.845 H
0.084 0.410 0.345 H
0.137 0.741 0.925 H
0.137 0.759 0.425 H
0.258 0.628 0.667 H
0.258 0.872 0.167 H
0.346 0.695 0.260 H
0.346 0.805 0.760 H
0.654 0.195 0.240 H
0.654 0.305 0.740 H
0.742 0.128 0.833 H
0.742 0.372 0.333 H
0.863 0.241 0.575 H
0.863 0.259 0.075 H
0.916 0.590 0.655 H
0.916 0.910 0.155 H
0.500 0.000 0.000 Pt
0.500 0.500 0.500 Pt
0.065 0.731 0.538 O
0.065 0.769 0.038 O
0.147 0.028 0.764 O
0.147 0.472 0.264 O
0.380 0.562 0.757 O
0.380 0.938 0.257 O
0.485 0.172 0.126 O
0.485 0.328 0.626 O
0.515 0.672 0.374 O
0.515 0.828 0.874 O
0.620 0.062 0.743 O
0.620 0.438 0.243 O
0.853 0.528 0.736 O
0.853 0.972 0.236 O
0.935 0.231 0.962 O
0.935 0.269 0.462 O


Record 2
Rb2ZnH12Se2O14, relaxed, DFT GGA-PBE; raw total energy = -4.974 eV/atom
1.0
6.179 0.000 0.000
0.000 12.304 0.000
-2.372 0.000 8.829
Rb Zn H Se O
4 2 24 4 28
Direct
0.151 0.159 0.360 Rb
0.151 0.341 0.860 Rb
0.849 0.659 0.140 Rb
0.849 0.841 0.640 Rb
0.500 0.000 0.000 Zn
0.500 0.500 0.500 Zn
0.152 0.553 0.591 H
0.152 0.947 0.091 H
0.164 0.642 0.469 H
0.164 0.858 0.969 H
0.181 0.092 0.795 H
0.181 0.408 0.295 H
0.408 0.131 0.756 H
0.408 0.369 0.256 H
0.431 0.593 0.227 H
0.431 0.907 0.727 H
0.495 0.187 0.148 H
0.495 0.313 0.648 H
0.505 0.687 0.352 H
0.505 0.813 0.852 H
0.569 0.093 0.273 H
0.569 0.407 0.773 H
0.592 0.631 0.744 H
0.592 0.869 0.244 H
0.819 0.592 0.705 H
0.819 0.908 0.205 H
0.836 0.142 0.031 H
0.836 0.358 0.531 H
0.848 0.053 0.909 H
0.848 0.447 0.409 H
0.230 0.633 0.907 Se
0.230 0.867 0.407 Se
0.770 0.133 0.593 Se
0.770 0.367 0.093 Se
0.066 0.738 0.921 O
0.066 0.762 0.421 O
0.094 0.558 0.759 O
0.094 0.942 0.259 O
0.192 0.563 0.494 O
0.192 0.937 0.994 O
0.272 0.556 0.062 O
0.272 0.944 0.562 O
0.336 0.119 0.840 O
0.336 0.381 0.340 O
0.463 0.111 0.173 O
0.463 0.389 0.673 O
0.473 0.679 0.881 O
0.473 0.821 0.381 O
0.527 0.179 0.619 O
0.527 0.321 0.119 O
0.537 0.611 0.327 O
0.537 0.889 0.827 O
0.664 0.619 0.660 O
0.664 0.881 0.160 O
0.728 0.056 0.438 O
0.728 0.444 0.938 O
0.808 0.063 0.006 O
0.808 0.437 0.506 O
0.906 0.058 0.741 O
0.906 0.442 0.241 O
0.934 0.238 0.579 O
0.934 0.262 0.079 O


Record 3
ReSbH4O7, relaxed, DFT GGA-PBE; raw total energy = -6.252 eV/atom
1.0
5.588 0.000 0.000
0.000 17.769 0.000
0.000 0.000 11.524
Re Sb H O
8 8 32 56
Direct
0.007 0.081 0.127 Re
0.007 0.419 0.627 Re
0.493 0.581 0.127 Re
0.493 0.919 0.627 Re
0.507 0.081 0.373 Re
0.507 0.419 0.873 Re
0.993 0.581 0.373 Re
0.993 0.919 0.873 Re
0.024 0.592 0.850 Sb
0.024 0.908 0.350 Sb
0.476 0.092 0.850 Sb
0.476 0.408 0.350 Sb
0.524 0.592 0.650 Sb
0.524 0.908 0.150 Sb
0.976 0.092 0.650 Sb
0.976 0.408 0.150 Sb
0.017 0.218 0.503 H
0.017 0.282 0.003 H
0.034 0.712 0.183 H
0.034 0.788 0.683 H
0.067 0.204 0.845 H
0.067 0.296 0.345 H
0.222 0.222 0.606 H
0.222 0.278 0.106 H
0.278 0.722 0.606 H
0.278 0.778 0.106 H
0.433 0.704 0.845 H
0.433 0.796 0.345 H
0.466 0.212 0.183 H
0.466 0.288 0.683 H
0.483 0.718 0.503 H
0.483 0.782 0.003 H
0.517 0.218 0.997 H
0.517 0.282 0.497 H
0.534 0.712 0.317 H
0.534 0.788 0.817 H
0.567 0.204 0.655 H
0.567 0.296 0.155 H
0.722 0.222 0.894 H
0.722 0.278 0.394 H
0.778 0.722 0.894 H
0.778 0.778 0.394 H
0.933 0.704 0.655 H
0.933 0.796 0.155 H
0.966 0.212 0.317 H
0.966 0.288 0.817 H
0.983 0.718 0.997 H
0.983 0.782 0.497 H
0.027 0.749 0.622 O
0.027 0.751 0.122 O
0.050 0.204 0.587 O
0.050 0.296 0.087 O
0.124 0.649 0.284 O
0.124 0.851 0.784 O
0.141 0.008 0.210 O
0.141 0.492 0.710 O
0.170 0.132 0.785 O
0.170 0.368 0.285 O
0.218 0.543 0.461 O
0.218 0.957 0.961 O
0.221 0.123 0.037 O
0.221 0.377 0.537 O
0.279 0.623 0.037 O
0.279 0.877 0.537 O
0.282 0.043 0.461 O
0.282 0.457 0.961 O
0.330 0.632 0.785 O
0.330 0.868 0.285 O
0.359 0.508 0.210 O
0.359 0.992 0.710 O
0.376 0.149 0.284 O
0.376 0.351 0.784 O
0.450 0.704 0.587 O
0.450 0.796 0.087 O
0.473 0.249 0.622 O
0.473 0.251 0.122 O
0.527 0.749 0.878 O
0.527 0.751 0.378 O
0.550 0.204 0.913 O
0.550 0.296 0.413 O
0.624 0.649 0.216 O
0.624 0.851 0.716 O
0.641 0.008 0.290 O
0.641 0.492 0.790 O
0.670 0.132 0.715 O
0.670 0.368 0.215 O
0.718 0.543 0.039 O
0.718 0.957 0.539 O
0.721 0.123 0.463 O
0.721 0.377 0.963 O
0.779 0.623 0.463 O
0.779 0.877 0.963 O
0.782 0.043 0.039 O
0.782 0.457 0.539 O
0.830 0.632 0.715 O
0.830 0.868 0.215 O
0.859 0.508 0.290 O
0.859 0.992 0.790 O
0.876 0.149 0.216 O
0.876 0.351 0.716 O
0.950 0.704 0.913 O
0.950 0.796 0.413 O
0.973 0.249 0.878 O
0.973 0.251 0.378 O


Record 4
SmHSO5, relaxed, DFT GGA-PBE; raw total energy = -6.707 eV/atom
1.0
4.406 0.000 0.000
0.000 12.236 0.000
-2.469 0.000 6.451
Sm H S O
4 4 4 20
Direct
0.167 0.062 0.301 Sm
0.167 0.438 0.801 Sm
0.833 0.562 0.199 Sm
0.833 0.938 0.699 Sm
0.209 0.659 0.982 H
0.209 0.841 0.482 H
0.791 0.159 0.518 H
0.791 0.341 0.018 H
0.410 0.148 0.888 S
0.410 0.352 0.388 S
0.590 0.648 0.612 S
0.590 0.852 0.112 S
0.200 0.068 0.951 O
0.200 0.432 0.451 O
0.227 0.249 0.821 O
0.227 0.251 0.321 O
0.232 0.586 0.045 O
0.232 0.914 0.545 O
0.292 0.669 0.435 O
0.292 0.831 0.935 O
0.479 0.099 0.712 O
0.479 0.401 0.212 O
0.521 0.599 0.788 O
0.521 0.901 0.288 O
0.708 0.169 0.065 O
0.708 0.331 0.565 O
0.768 0.086 0.455 O
0.768 0.414 0.955 O
0.773 0.749 0.679 O
0.773 0.751 0.179 O
0.800 0.568 0.549 O
0.800 0.932 0.049 O


Record 5
ZnH6S4O16, relaxed, DFT GGA-PBE; raw total energy = -4.962 eV/atom
1.0
4.902 0.000 0.000
-2.224 7.760 0.000
-0.004 -0.005 14.928
Zn H S O
2 12 8 32
Direct
0.000 0.000 0.000 Zn
0.003 0.499 0.500 Zn
0.121 0.493 0.687 H
0.121 0.993 0.814 H
0.358 0.293 0.479 H
0.358 0.794 0.020 H
0.443 0.924 0.102 H
0.444 0.424 0.397 H
0.560 0.076 0.896 H
0.561 0.575 0.603 H
0.646 0.206 0.978 H
0.647 0.705 0.521 H
0.884 0.005 0.187 H
0.884 0.505 0.314 H
0.168 0.337 0.865 S
0.169 0.838 0.636 S
0.376 0.387 0.092 S
0.377 0.887 0.408 S
0.628 0.112 0.592 S
0.628 0.612 0.908 S
0.836 0.161 0.365 S
0.836 0.661 0.135 S
0.005 0.122 0.118 O
0.007 0.622 0.382 O
0.082 0.720 0.724 O
0.083 0.219 0.776 O
0.237 0.591 0.732 O
0.238 0.090 0.769 O
0.250 0.228 0.933 O
0.250 0.727 0.568 O
0.296 0.205 0.151 O
0.297 0.705 0.349 O
0.302 0.383 0.444 O
0.306 0.887 0.054 O
0.355 0.615 0.951 O
0.356 0.115 0.549 O
0.491 0.045 0.334 O
0.491 0.545 0.166 O
0.514 0.454 0.834 O
0.515 0.954 0.666 O
0.649 0.384 0.049 O
0.649 0.884 0.451 O
0.700 0.613 0.555 O
0.703 0.117 0.943 O
0.707 0.793 0.849 O
0.709 0.293 0.651 O
0.754 0.271 0.433 O
0.755 0.772 0.068 O
0.768 0.408 0.268 O
0.770 0.908 0.233 O
0.923 0.279 0.277 O
0.924 0.779 0.224 O
0.997 0.877 0.882 O
0.999 0.377 0.618 O


Record 6
Zn7H10S2O18, relaxed, DFT GGA-PBE; raw total energy = -5.057 eV/atom
1.0
5.424 0.000 0.000
0.814 7.942 0.000
0.810 3.382 8.177
Zn H S O
7 10 2 18
Direct
0.000 0.000 0.000 Zn
0.000 0.345 0.669 Zn
0.000 0.655 0.331 Zn
0.454 0.655 0.607 Zn
0.497 0.809 0.189 Zn
0.503 0.191 0.811 Zn
0.546 0.345 0.393 Zn
0.112 0.313 0.405 H
0.208 0.899 0.398 H
0.228 0.654 0.061 H
0.240 0.993 0.740 H
0.248 0.448 0.859 H
0.752 0.552 0.141 H
0.760 0.007 0.260 H
0.772 0.346 0.939 H
0.792 0.101 0.602 H
0.888 0.687 0.595 H
0.286 0.219 0.179 S
0.714 0.781 0.821 S
0.096 0.148 0.314 O
0.188 0.398 0.441 O
0.197 0.090 0.782 O
0.201 0.748 0.107 O
0.223 0.407 0.069 O
0.284 0.778 0.406 O
0.291 0.438 0.751 O
0.316 0.098 0.081 O
0.466 0.797 0.750 O
0.534 0.203 0.250 O
0.684 0.902 0.919 O
0.709 0.562 0.249 O
0.716 0.222 0.594 O
0.777 0.593 0.931 O
0.799 0.252 0.893 O
0.803 0.910 0.218 O
0.812 0.602 0.559 O
0.904 0.852 0.686 O


Record 7
SmH3Se3O12, relaxed, DFT GGA-PBE; raw total energy = -5.355 eV/atom
1.0
5.847 0.000 0.000
-1.334 8.820 0.000
-0.465 -1.550 9.508
Sm H Se O
2 6 6 24
Direct
0.000 0.000 0.000 Sm
0.289 0.425 0.516 Sm
0.360 0.827 0.708 H
0.536 0.045 0.113 H
0.603 0.142 0.898 H
0.683 0.272 0.606 H
0.743 0.390 0.369 H
0.931 0.598 0.798 H
0.362 0.024 0.571 Se
0.428 0.696 0.016 Se
0.438 0.288 0.143 Se
0.822 0.139 0.360 Se
0.854 0.725 0.486 Se
0.913 0.402 0.936 Se
0.020 0.513 0.799 O
0.041 0.199 0.490 O
0.074 0.625 0.499 O
0.206 0.793 0.000 O
0.208 0.241 0.020 O
0.261 0.907 0.705 O
0.301 0.321 0.752 O
0.312 0.360 0.287 O
0.345 0.186 0.762 O
0.421 0.084 0.175 O
0.445 0.672 0.787 O
0.554 0.256 0.533 O
0.559 0.574 0.718 O
0.600 0.947 0.538 O
0.620 0.591 0.436 O
0.663 0.827 0.066 O
0.670 0.474 0.962 O
0.721 0.161 0.977 O
0.732 0.850 0.786 O
0.831 0.330 0.302 O
0.841 0.751 0.716 O
0.936 0.235 0.749 O
0.965 0.055 0.229 O
0.982 0.101 0.759 O


> Number 2 is which compound?

Rb2ZnH12Se2O14